Record 1
This record from the Alexandria database describes a relaxed CeThCl2 crystal. The functional is PBE.

Cell: 3.5204 3.5204 10.1612 Å, 80.02 80.02 60.00°
Atoms (fractional coordinates):
Th 0.0000 0.0000 0.0000
Cl 0.0977 0.0977 0.7069
Ce 0.5000 0.5000 0.5000
Cl 0.9023 0.9023 0.2931

Calculated values
Raw formation energy = -1.18 eV/atom
Spin magnetization = 0.2605 μB/atom
DOS at the Fermi energy = 6.6 states/eV per cell

---

Record 2
This record from the Alexandria database describes a relaxed ZnHgBr4 crystal. The functional is PBE.

Cell: 5.7909 5.7935 13.3370 Å, 102.49 102.49 90.01°
Atoms (fractional coordinates):
Br 0.9560 0.1689 0.8734
Br 0.2979 0.0465 0.6290
Br 0.4178 0.7045 0.8734
Br 0.8335 0.5845 0.6291
Zn 0.1267 0.8766 0.7512
Br 0.5822 0.2955 0.1266
Br 0.0440 0.8311 0.1266
Br 0.7021 0.9535 0.3710
Br 0.1665 0.4155 0.3709
Hg 0.3734 0.6235 0.2487
Zn 0.8733 0.1234 0.2488
Hg 0.6266 0.3765 0.7513

Calculated values
Raw formation energy = -0.66 eV/atom
Spin magnetization = 0.0000 μB/atom
Polymorph energy (0 for the lowest one) = 0.000 eV per atom
DOS at the Fermi energy = 0.0 states/eV per cell

---

Record 3
This record from the Alexandria database describes a relaxed CaAc2Hg crystal. The functional is PBE.

Cell: 4.2725 5.8586 5.8586 Å, 90.00 90.00 90.00°
Atoms (fractional coordinates):
Ac 0.0000 0.5000 0.0000
Ca 0.5000 0.0000 0.0000
Ac 0.0000 0.0000 0.5000
Hg 0.5000 0.5000 0.5000

Calculated values
Spin magnetization = 0.0000 μB/atom
Polymorph energy (0 for the lowest one) = 0.067 eV per atom
DOS at the Fermi energy = 2.8 states/eV per cell
Calculated formation energy = -0.60 eV/f.u.

---

Record 4
This record from the Alexandria database describes a relaxed Li3CuPd4 crystal. The functional is PBE.

Cell: 4.2624 4.2624 6.6889 Å, 108.58 108.58 89.87°
Atoms (fractional coordinates):
Pd 0.3743 0.3743 0.7487
Pd 0.1257 0.1257 0.2513
Pd 0.6257 0.6257 0.2513
Cu 0.5000 0.0000 0.0000
Li 0.0000 0.5000 0.0000
Pd 0.8743 0.8743 0.7487
Li 0.2502 0.7503 0.5004
Li 0.7498 0.2497 0.4996

Calculated values
Spin magnetization = 0.0000 μB/atom
Polymorph energy (0 for the lowest one) = 0.000 eV per atom
DOS at the Fermi energy = 4.2 states/eV per cell
Calculated formation energy = -2.84 eV/f.u.

---

Record 5
This record from the Alexandria database describes a relaxed YHfAu crystal. The functional is PBE.

Cell: 5.0418 5.0418 5.9405 Å, 90.00 90.00 120.00°
Atoms (fractional coordinates):
Hf 0.6667 0.3333 0.2500
Au 0.0000 0.0000 0.0000
Y 0.6667 0.3333 0.7500
Au 0.0000 0.0000 0.5000
Y 0.3333 0.6667 0.2500
Hf 0.3333 0.6667 0.7500

Calculated values
Spin magnetization = 0.0000 μB/atom
Polymorph energy (0 for the lowest one) = 0.680 eV per atom
DOS at the Fermi energy = 5.2 states/eV per cell
Calculated formation energy = 0.61 eV/f.u.

---

Record 6
This record from the Alexandria database describes a relaxed BaLa2DyTl4 crystal. The functional is PBE.

Cell: 5.6448 5.6448 9.9553 Å, 73.53 73.53 60.00°
Atoms (fractional coordinates):
Dy 0.5000 0.5000 0.5000
Tl 0.8703 0.8703 0.3892
Tl 0.1297 0.1297 0.6108
La 0.2490 0.2490 0.2529
La 0.7510 0.7510 0.7471
Ba 0.0000 0.0000 0.0000
Tl 0.6144 0.6144 0.1568
Tl 0.3856 0.3856 0.8432

Calculated values
Spin magnetization = 0.0000 μB/atom
DOS at the Fermi energy = 5.9 states/eV per cell
Calculated formation energy = -2.77 eV/f.u.

---

Record 7
This record from the Alexandria database describes a relaxed CsRb2NaSb crystal. The functional is PBE.

Cell: 7.3125 7.3125 6.1047 Å, 90.00 90.00 90.00°
Atoms (fractional coordinates):
Na 0.0000 0.0000 0.5000
Cs 0.5000 0.5000 0.5000
Rb 0.5000 0.0000 0.0000
Sb 0.0000 0.0000 0.0000
Rb 0.0000 0.5000 0.0000

Calculated values
Raw formation energy = -0.18 eV/atom
Spin magnetization = 0.0026 μB/atom
Polymorph energy (0 for the lowest one) = 0.000 eV per atom
DOS at the Fermi energy = 3.0 states/eV per cell

---

Record 8
This record from the Alexandria database describes a relaxed Ta2InPt crystal. The functional is PBE.

Cell: 5.3219 5.3219 5.3219 Å, 136.10 136.10 63.83°
Atoms (fractional coordinates):
Ta 0.5000 0.5000 0.0000
In 0.2500 0.7500 0.5000
Ta 0.0000 0.0000 0.0000
Pt 0.7500 0.2500 0.5000

Calculated values
Spin magnetization = 0.0000 μB/atom
DOS at the Fermi energy = 3.2 states/eV per cell
Calculated formation energy = -0.80 eV/f.u.

---

Record 9
This record from the Alexandria database describes a relaxed LiGaSe2 crystal. The functional is PBE.

Cell: 16.1205 7.7007 7.7007 Å, 78.74 112.35 67.65°
Atoms (fractional coordinates):
Ga 0.1507 0.5863 0.1785
Li 0.3733 0.5603 0.6483
Se 0.2500 0.7586 0.2586
Se 0.4753 0.3122 0.2523
Ga 0.3493 0.6785 0.0863
Ga 0.8630 0.3359 0.3348
Se 0.7500 0.7002 0.2002
Se 0.2500 0.2998 0.7998
Li 0.6048 0.9824 0.2269
Se 0.2403 0.8323 0.7119
Li 0.1048 0.2731 0.5176
Li 0.8952 0.7269 0.4824
Se 0.4657 0.8232 0.1759
Li 0.1267 0.1483 0.0603
Se 0.0343 0.6759 0.3232
Se 0.2597 0.2119 0.3323
Se 0.9657 0.3241 0.6768
Se 0.0247 0.7523 0.8122
Li 0.3952 0.0176 0.7731
Li 0.8733 0.8517 0.9397
Se 0.7500 0.2414 0.7414
Ga 0.6507 0.3215 0.9137
Ga 0.3630 0.1652 0.1641
Li 0.6267 0.4397 0.3517
Se 0.9753 0.2477 0.1878
Se 0.5247 0.6878 0.7477
Se 0.5343 0.1768 0.8241
Ga 0.6370 0.8348 0.8359
Ga 0.1370 0.6641 0.6652
Ga 0.8493 0.4137 0.8215
Se 0.7597 0.1677 0.2881
Se 0.7403 0.7881 0.6677

Calculated values
Raw formation energy = -0.83 eV/atom
Spin magnetization = 0.0000 μB/atom
DOS at the Fermi energy = 0.0 states/eV per cell

---

Record 10
This record from the Alexandria database describes a relaxed NbCu2I2 crystal. The functional is PBE.

Cell: 7.3225 7.3225 3.8014 Å, 90.00 90.00 90.00°
Atoms (fractional coordinates):
Cu 0.6222 0.1222 0.0000
I 0.3109 0.1891 0.5000
Cu 0.8778 0.6222 0.0000
Cu 0.3778 0.8778 0.0000
Nb 0.5000 0.5000 0.0000
I 0.6891 0.8109 0.5000
I 0.1891 0.6891 0.5000
I 0.8109 0.3109 0.5000
Nb 0.0000 0.0000 0.0000
Cu 0.1222 0.3778 0.0000

Calculated values
Raw formation energy = 0.69 eV/atom
Spin magnetization = 0.4945 μB/atom
Polymorph energy (0 for the lowest one) = 0.000 eV per atom
DOS at the Fermi energy = 8.5 states/eV per cell

---

Record 11
This record from the Alexandria database describes a relaxed BeFe4Cl crystal. The functional is PBE.

Cell: 4.8860 4.8860 4.8860 Å, 60.00 60.00 60.00°
Atoms (fractional coordinates):
Be 0.7500 0.7500 0.7500
Fe 0.3766 0.8702 0.3766
Fe 0.8702 0.3766 0.3766
Cl 0.0000 0.0000 0.0000
Fe 0.3766 0.3766 0.3766
Fe 0.3766 0.3766 0.8702

Calculated values
Raw formation energy = 0.69 eV/atom
Spin magnetization = 1.7536 μB/atom
DOS at the Fermi energy = 5.1 states/eV per cell

---

What did the eleventh record say?
This record from the Alexandria database describes a relaxed BeFe4Cl crystal. The functional is PBE.

Cell: 4.8860 4.8860 4.8860 Å, 60.00 60.00 60.00°
Atoms (fractional coordinates):
Be 0.7500 0.7500 0.7500
Fe 0.3766 0.8702 0.3766
Fe 0.8702 0.3766 0.3766
Cl 0.0000 0.0000 0.0000
Fe 0.3766 0.3766 0.3766
Fe 0.3766 0.3766 0.8702

Calculated values
Raw formation energy = 0.69 eV/atom
Spin magnetization = 1.7536 μB/atom
DOS at the Fermi energy = 5.1 states/eV per cell

---

Q: Look up the spin magnetization of the seventh one.
A: 0.0026 μB/atom

---

Q: Look up the spin magnetization of the seventh one.
A: 0.0026 μB/atom